(1)
The following is a DFT calculation (PBE-GGA) of an optimized crystal structure of Ho3Ga6Co5.

ΔH_f (0 K)	-432	meV/atom
mass density	9.0	Mg/m³

Lattice parameters (Å, degrees): 4.070 12.182 8.989 90.00 90.00 90.00
Space group Pmmn (No. 59, origin choice 2)
Asymmetric unit:
Ho1 0.250 0.052 0.249
Ho2 0.250 0.750 0.266
Ga1 0.250 0.072 0.589
Ga2 0.250 0.250 0.037
Ga3 0.250 0.250 0.420
Ga4 0.250 0.598 0.983
Co1 0.250 0.093 0.865
Co2 0.250 0.641 0.546
Co3 0.250 0.750 0.779

***

(2)
The following is a DFT calculation (PBE-GGA) of an optimized crystal structure of BaZr2Rh.

ΔH_f (0 K)	404	meV/atom
energy above the most stable polymorph in this dataset	2.00	eV/f.u.
mass density	7.3	Mg/m³

Lattice parameters (Å, degrees): 4.238 4.238 10.779 90.00 90.00 90.00
Space group I4/mmm (No. 139)
Asymmetric unit:
Ba1 0.000 0.000 0.000
Zr1 0.000 0.500 0.250
Rh1 0.000 0.000 0.500

***

(3)
The following is a DFT calculation (PBE-GGA) of an optimized crystal structure of Cd2CoRe.

ΔH_f (0 K)	1152	meV/atom
energy above the most stable polymorph in this dataset	3.71	eV/f.u.
mass density	11.0	Mg/m³

Lattice parameters (Å, degrees): 7.407 7.407 5.165 90.00 90.00 90.00
Space group I-42d (No. 122)
Asymmetric unit:
Cd1 0.222 0.250 0.125
Co1 0.000 0.000 0.000
Re1 0.000 0.000 0.500

***

(4)
The following is a DFT calculation (PBE-GGA) of an optimized crystal structure of Cu2BiPb2.

ΔH_f (0 K)	168	meV/atom
energy above the most stable polymorph in this dataset	0.00	eV/f.u.
mass density	10.6	Mg/m³

Lattice parameters (Å, degrees): 7.355 7.355 4.363 90.00 90.00 90.00
Space group P4/mbm (No. 127)
Asymmetric unit:
Cu1 0.120 0.380 0.000
Bi1 0.000 0.000 0.000
Pb1 0.169 0.669 0.500

***

(5)
The following is a DFT calculation (PBE-GGA) of an optimized crystal structure of B2IrRh3.

ΔH_f (0 K)	-197	meV/atom
mass density	11.6	Mg/m³

Lattice parameters (Å, degrees): 12.143 3.325 8.317 90.00 117.34 90.00
Space group C2/m (No. 12)
Asymmetric unit:
B1 0.115 0.000 0.430
B2 0.131 0.500 0.858
Ir1 0.076 0.000 0.682
Rh1 0.063 0.500 0.211
Rh2 0.173 0.000 0.044
Rh3 0.214 0.500 0.593

***

(6)
The following is a DFT calculation (PBE-GGA) of an optimized crystal structure of RbSrSe2.

energy relative to the elements, uncorrected	-1.161	eV/atom
mass density	4.5	Mg/m³

Lattice parameters (Å, degrees): 7.867 7.867 7.867 90.00 90.00 90.00
Space group Fm-3m (No. 225)
Asymmetric unit:
Rb1 0.000 0.000 0.000
Sr1 0.000 0.000 0.500
Se1 0.250 0.250 0.250

***

(7)
The following is a DFT calculation (PBE-GGA) of an optimized crystal structure of MgH3Pb.

energy above the most stable polymorph in this dataset	0.00	eV/f.u.
mass density	6.3	Mg/m³

Lattice parameters (Å, degrees): 3.962 3.962 3.962 90.00 90.00 90.00
Space group Pm-3m (No. 221)
Asymmetric unit:
Mg1 0.000 0.000 0.000
H1 0.000 0.000 0.500
Pb1 0.500 0.500 0.500

***

(8)
The following is a DFT calculation (PBE-GGA) of an optimized crystal structure of K4TlO2.

energy relative to the elements, uncorrected	-0.777	eV/atom
mass density	3.5	Mg/m³

Lattice parameters (Å, degrees): 4.2921 4.2921 35.2445 90.00 90.00 120.00
Space group R-3m (No. 166, hexagonal axes)
Asymmetric unit:
K1 0.0000 0.0000 0.0897
K2 0.0000 0.0000 0.3033
Tl1 0.0000 0.0000 0.5000
O1 0.0000 0.0000 0.3911